Entry 1:
{"formula": "KSrLa2", "functional": "GGA-PBE", "state": "optimized geometry", "lattice_angstrom": [[-7.2497, -1.7714, -0.4834], [-2.4566, -6.3952, 2.9994], [4.2032, 5.8566, 1.9907]], "species": ["La", "La", "K", "Sr"], "frac_coords": [[0.5000, 0.5000, 0.0000], [0.0000, 0.0000, 0.0000], [0.2500, 0.7500, 0.5000], [0.7500, 0.2500, 0.5000]], "de_polymorph_mev_per_atom": 254, "formation_energy_ev_per_atom": 0.40, "dos_at_fermi_per_ev_atom": 2.00, "magmom_total_mub_per_fu": 0.00}

---

Entry 2:
{"formula": "K4SrLa", "functional": "GGA-PBE", "state": "optimized geometry", "lattice_angstrom": [[-4.3144, -5.2058, 4.0209], [-6.9302, -2.3984, -2.8463], [-0.8165, -7.3463, -2.6921]], "species": ["K", "K", "K", "K", "Sr", "La"], "frac_coords": [[0.3753, 0.8740, 0.3753], [0.3753, 0.3753, 0.3753], [0.3753, 0.3753, 0.8740], [0.8740, 0.3753, 0.3753], [0.0000, 0.0000, 0.0000], [0.7500, 0.7500, 0.7500]], "formation_energy_ev_per_atom": 0.39, "dos_at_fermi_per_ev_atom": 2.01, "magmom_total_mub_per_fu": 0.96}

---

Entry 3:
{"formula": "KSrLa2", "functional": "GGA-PBE", "state": "optimized geometry", "lattice_angstrom": [[-3.1143, 5.2197, -4.9526], [-6.6043, -1.4613, -3.9649], [3.7462, 0.8733, 6.8320]], "species": ["Sr", "La", "La", "K"], "frac_coords": [[0.7500, 0.2500, 0.5000], [0.4996, 0.4996, 0.0000], [0.0004, 0.0004, 0.0000], [0.2500, 0.7500, 0.5000]], "de_polymorph_mev_per_atom": 176, "formation_energy_ev_per_atom": 0.32, "dos_at_fermi_per_ev_atom": 1.53, "magmom_total_mub_per_fu": 0.00}

---

Entry 4:
{"formula": "KSrLa2", "functional": "GGA-PBE", "state": "optimized geometry", "lattice_angstrom": [[-5.2067, 0.1668, 5.3736], [1.4390, -6.4264, -3.5559], [2.6080, -0.8285, 2.5527]], "species": ["La", "La", "Sr", "K"], "frac_coords": [[0.5000, 0.5000, 0.0000], [0.0000, 0.0000, 0.0000], [0.5000, 0.0000, 0.5000], [0.0000, 0.5000, 0.5000]], "de_polymorph_mev_per_atom": 243, "formation_energy_ev_per_atom": 0.39, "dos_at_fermi_per_ev_atom": 1.94, "magmom_total_mub_per_fu": 0.01}

---

Entry 5:
{"formula": "KSr2La", "functional": "GGA-PBE", "state": "optimized geometry", "lattice_angstrom": [[-0.1859, 0.5540, 4.2625], [4.4310, -5.2877, 0.8806], [5.2086, 4.3093, -0.3329]], "species": ["K", "La", "Sr", "Sr"], "frac_coords": [[0.5000, 0.0000, 0.5000], [0.0000, 0.5000, 0.5000], [0.5000, 0.5000, 0.0000], [0.0000, 0.0000, 0.0000]], "de_polymorph_mev_per_atom": 159, "formation_energy_ev_per_atom": 0.30, "dos_at_fermi_per_ev_atom": 1.47, "magmom_total_mub_per_fu": 0.00}

---

Entry 6:
{"formula": "KSrLa2", "functional": "GGA-PBE", "state": "optimized geometry", "lattice_angstrom": [[-14.0870, 1.7412, -0.1590], [-14.0352, -2.0439, 0.5786], [-13.7548, 0.4888, 3.4735]], "species": ["La", "La", "Sr", "K"], "frac_coords": [[0.9950, 0.9950, 0.9950], [0.5050, 0.5050, 0.5050], [0.2500, 0.2500, 0.2500], [0.7500, 0.7500, 0.7500]], "de_polymorph_mev_per_atom": 115, "formation_energy_ev_per_atom": 0.26, "dos_at_fermi_per_ev_atom": 1.54, "magmom_total_mub_per_fu": 0.10}

---

Entry 7:
{"formula": "K3SrLa", "functional": "GGA-PBE", "state": "optimized geometry", "lattice_angstrom": [[-2.7699, -3.7463, 5.1687], [3.0350, -5.7296, -2.5263], [5.6159, 1.2487, 3.9147]], "species": ["K", "K", "K", "Sr", "La"], "frac_coords": [[0.5000, 0.0000, 0.0000], [0.0000, 0.0000, 0.5000], [0.0000, 0.5000, 0.0000], [0.5000, 0.5000, 0.5000], [0.0000, 0.0000, 0.0000]], "formation_energy_ev_per_atom": 0.79, "dos_at_fermi_per_ev_atom": 0.39, "magmom_total_mub_per_fu": 4.19}

---

Entry 8:
{"formula": "KSrLa2", "functional": "GGA-PBE", "state": "optimized geometry", "lattice_angstrom": [[3.7782, 0.0000, 0.0000], [0.0000, 6.4561, 0.0000], [0.0000, 0.0000, 7.5768]], "species": ["La", "La", "K", "Sr"], "frac_coords": [[0.0000, 0.0000, 0.4689], [0.0000, 0.0000, 0.0311], [0.5000, 0.5000, 0.7500], [0.5000, 0.5000, 0.2500]], "de_polymorph_mev_per_atom": 230, "formation_energy_ev_per_atom": 0.38, "dos_at_fermi_per_ev_atom": 1.91, "magmom_total_mub_per_fu": 0.01}

---

Entry 9:
{"formula": "KSrLa2", "functional": "GGA-PBE", "state": "optimized geometry", "lattice_angstrom": [[3.8918, 0.0000, 0.0000], [0.0000, 3.8730, -0.1040], [0.0000, 4.2169, 12.3590]], "species": ["Sr", "K", "La", "La"], "frac_coords": [[0.0000, 0.5329, 0.4664], [0.5000, 0.7364, 0.7636], [0.5000, 0.2687, 0.2319], [0.0000, 0.9620, 0.0382]], "de_polymorph_mev_per_atom": 0, "formation_energy_ev_per_atom": 0.15, "dos_at_fermi_per_ev_atom": 1.23, "magmom_total_mub_per_fu": 0.00}

---

Entry 10:
{"formula": "KSrLa2", "functional": "GGA-PBE", "state": "optimized geometry", "lattice_angstrom": [[3.7763, -0.0173, 0.0000], [-1.5085, 3.4620, 0.0000], [0.0000, 0.0000, 13.9244]], "species": ["La", "La", "K", "Sr"], "frac_coords": [[0.0000, 0.0000, 0.0163], [0.0000, 0.0000, 0.4837], [0.5000, 0.5000, 0.7500], [0.5000, 0.5000, 0.2500]], "de_polymorph_mev_per_atom": 125, "formation_energy_ev_per_atom": 0.27, "dos_at_fermi_per_ev_atom": 1.34, "magmom_total_mub_per_fu": 0.00}

---

Entry 11:
{"formula": "KSr2La", "functional": "GGA-PBE", "state": "optimized geometry", "lattice_angstrom": [[0.0000, 4.6487, 4.6487], [4.6487, 0.0000, 4.6487], [4.6487, 4.6487, 0.0000]], "species": ["Sr", "Sr", "K", "La"], "frac_coords": [[0.2500, 0.2500, 0.2500], [0.7500, 0.7500, 0.7500], [0.0000, 0.0000, 0.0000], [0.5000, 0.5000, 0.5000]], "de_polymorph_mev_per_atom": 178, "formation_energy_ev_per_atom": 0.32, "dos_at_fermi_per_ev_atom": 1.10, "magmom_total_mub_per_fu": 0.00}

---

Entry 12:
{"formula": "KSr2La", "functional": "GGA-PBE", "state": "optimized geometry", "lattice_angstrom": [[-6.1407, 3.1784, 1.6811], [-0.7696, -6.5323, 2.7153], [1.6328, 1.2805, 3.5434]], "species": ["Sr", "Sr", "La", "K"], "frac_coords": [[0.5000, 0.5000, 0.0000], [0.0000, 0.0000, 0.0000], [0.0000, 0.5000, 0.5000], [0.5000, 0.0000, 0.5000]], "de_polymorph_mev_per_atom": 103, "formation_energy_ev_per_atom": 0.25, "dos_at_fermi_per_ev_atom": 1.37, "magmom_total_mub_per_fu": 0.00}

---

Entry 13:
{"formula": "KSr2La", "functional": "GGA-PBE", "state": "optimized geometry", "lattice_angstrom": [[14.2894, 0.0021, 0.0012], [13.6998, 4.0623, 0.0012], [13.6998, 1.9894, 3.5418]], "species": ["La", "Sr", "Sr", "K"], "frac_coords": [[0.7500, 0.7500, 0.7500], [0.0074, 0.0074, 0.0074], [0.4926, 0.4926, 0.4926], [0.2500, 0.2500, 0.2500]], "de_polymorph_mev_per_atom": 0, "formation_energy_ev_per_atom": 0.14, "dos_at_fermi_per_ev_atom": 1.48, "magmom_total_mub_per_fu": 0.00}

---

Entry 14:
{"formula": "KSr2La", "functional": "GGA-PBE", "state": "optimized geometry", "lattice_angstrom": [[3.9699, -0.0012, 0.0000], [-1.5279, 3.6641, 0.0000], [0.0000, 0.0000, 13.9791]], "species": ["K", "Sr", "Sr", "La"], "frac_coords": [[0.0000, 0.0000, 0.5085], [0.5000, 0.5000, 0.2373], [0.0000, 0.0000, 0.9896], [0.5000, 0.5000, 0.7647]], "de_polymorph_mev_per_atom": 47, "formation_energy_ev_per_atom": 0.19, "dos_at_fermi_per_ev_atom": 1.29, "magmom_total_mub_per_fu": 0.00}

---

Entry 15:
{"formula": "KSrLa2", "functional": "GGA-PBE", "state": "optimized geometry", "lattice_angstrom": [[-4.0556, 4.6387, -4.8702], [-6.7838, 3.0854, 2.4789], [7.8055, -0.7437, 0.4541]], "species": ["K", "La", "La", "Sr"], "frac_coords": [[0.2414, 0.7414, 0.5000], [0.9777, 0.9777, 0.0000], [0.7729, 0.2729, 0.5000], [0.5080, 0.5080, 0.0000]], "de_polymorph_mev_per_atom": 186, "formation_energy_ev_per_atom": 0.33, "dos_at_fermi_per_ev_atom": 1.24, "magmom_total_mub_per_fu": 0.00}

---

Entry 16:
{"formula": "KSrLa2", "functional": "GGA-PBE", "state": "optimized geometry", "lattice_angstrom": [[-1.2321, -3.5206, 1.6195], [3.4306, -3.2079, -4.3636], [5.4292, 0.0474, 4.2335]], "species": ["K", "La", "La", "Sr"], "frac_coords": [[0.0000, 0.5000, 0.5000], [0.0000, 0.0000, 0.0000], [0.5000, 0.5000, 0.0000], [0.5000, 0.0000, 0.5000]], "de_polymorph_mev_per_atom": 178, "formation_energy_ev_per_atom": 0.32, "dos_at_fermi_per_ev_atom": 1.62, "magmom_total_mub_per_fu": 0.13}

---

Entry 17:
{"formula": "KSrLa2", "functional": "GGA-PBE", "state": "optimized geometry", "lattice_angstrom": [[-2.7930, 0.8654, -4.0960], [-3.6672, -2.8808, 1.8919], [-8.9169, 10.3546, 5.1762]], "species": ["Sr", "Sr", "K", "K", "La", "La", "La", "La"], "frac_coords": [[0.0000, 0.0000, 0.0000], [0.7500, 0.2500, 0.5000], [0.2500, 0.7500, 0.5000], [0.5000, 0.5000, 0.0000], [0.6235, 0.1250, 0.2500], [0.3750, 0.3765, 0.7500], [0.1265, 0.6250, 0.2500], [0.8750, 0.8735, 0.7500]], "de_polymorph_mev_per_atom": 364, "formation_energy_ev_per_atom": 0.51, "dos_at_fermi_per_ev_atom": 1.27, "magmom_total_mub_per_fu": 0.51}

---

Entry 18:
{"formula": "KSr2La", "functional": "GGA-PBE", "state": "optimized geometry", "lattice_angstrom": [[-5.9671, 1.1740, -4.0720], [-5.9398, -2.7309, -3.2904], [-4.7005, 1.0819, 5.5696]], "species": ["La", "K", "Sr", "Sr"], "frac_coords": [[0.2529, 0.2529, 0.2315], [0.5026, 0.5026, 0.5033], [0.7492, 0.7492, 0.7504], [0.9954, 0.9954, 0.0147]], "de_polymorph_mev_per_atom": 114, "formation_energy_ev_per_atom": 0.26, "dos_at_fermi_per_ev_atom": 1.56, "magmom_total_mub_per_fu": 0.01}

---

Entry 19:
{"formula": "KSrLa2", "functional": "GGA-PBE", "state": "optimized geometry", "lattice_angstrom": [[6.4623, 0.0000, 0.0000], [0.0000, 5.3134, 0.0000], [0.0000, 0.0000, 5.3134]], "species": ["La", "La", "Sr", "K"], "frac_coords": [[0.0000, 0.0000, 0.0000], [0.0000, 0.5000, 0.5000], [0.5000, 0.5000, 0.0000], [0.5000, 0.0000, 0.5000]], "de_polymorph_mev_per_atom": 258, "formation_energy_ev_per_atom": 0.40, "dos_at_fermi_per_ev_atom": 1.87, "magmom_total_mub_per_fu": 0.00}

---

Entry 20:
{"formula": "KSrLa2", "functional": "GGA-PBE", "state": "optimized geometry", "lattice_angstrom": [[0.0000, 4.5031, 4.5031], [4.5031, 0.0000, 4.5031], [4.5031, 4.5031, 0.0000]], "species": ["La", "La", "K", "Sr"], "frac_coords": [[0.2500, 0.2500, 0.2500], [0.7500, 0.7500, 0.7500], [0.0000, 0.0000, 0.0000], [0.5000, 0.5000, 0.5000]], "de_polymorph_mev_per_atom": 329, "formation_energy_ev_per_atom": 0.47, "dos_at_fermi_per_ev_atom": 2.49, "magmom_total_mub_per_fu": 0.00}

---

Entry 21:
{"formula": "KSrLa2", "functional": "GGA-PBE", "state": "optimized geometry", "lattice_angstrom": [[7.2612, -0.0040, 0.0027], [6.2395, 3.7141, 0.0027], [0.9438, 0.2594, 6.7674]], "species": ["La", "La", "K", "Sr"], "frac_coords": [[0.4998, 0.4998, 0.5277], [0.0002, 0.0002, 0.9723], [0.2500, 0.2500, 0.2500], [0.7500, 0.7500, 0.7500]], "de_polymorph_mev_per_atom": 164, "formation_energy_ev_per_atom": 0.31, "dos_at_fermi_per_ev_atom": 1.68, "magmom_total_mub_per_fu": 0.03}

---

Entry 22:
{"formula": "KSr2La", "functional": "GGA-PBE", "state": "optimized geometry", "lattice_angstrom": [[7.4874, 0.0876, 0.0000], [3.1055, 6.8136, 0.0000], [-5.2964, -3.4506, 4.0137]], "species": ["Sr", "Sr", "La", "K"], "frac_coords": [[0.2500, 0.7500, 0.5000], [0.0000, 0.0000, 0.0000], [0.7500, 0.2500, 0.5000], [0.5000, 0.5000, 0.0000]], "de_polymorph_mev_per_atom": 185, "formation_energy_ev_per_atom": 0.33, "dos_at_fermi_per_ev_atom": 2.05, "magmom_total_mub_per_fu": 0.99}

---

Entry 23:
{"formula": "KSrLa2", "functional": "GGA-PBE", "state": "optimized geometry", "lattice_angstrom": [[6.6894, 0.0000, 0.0000], [0.0000, 6.6894, 0.0000], [0.0000, 0.0000, 4.0757]], "species": ["La", "La", "Sr", "K"], "frac_coords": [[0.5000, 0.5000, 0.0000], [0.0000, 0.0000, 0.0000], [0.5000, 0.0000, 0.5000], [0.0000, 0.5000, 0.5000]], "de_polymorph_mev_per_atom": 310, "formation_energy_ev_per_atom": 0.46, "dos_at_fermi_per_ev_atom": 1.67, "magmom_total_mub_per_fu": 0.00}

---

Entry 24:
{"formula": "KSr2La", "functional": "GGA-PBE", "state": "optimized geometry", "lattice_angstrom": [[-1.3622, 1.2325, -3.6196], [2.2963, -2.8087, -1.8205], [-9.5706, -8.3223, 0.7679]], "species": ["La", "K", "Sr", "Sr"], "frac_coords": [[0.5000, 0.5000, 0.7500], [0.5000, 0.5000, 0.2500], [0.0000, 0.0000, 0.5317], [0.0000, 0.0000, 0.9683]], "de_polymorph_mev_per_atom": 1, "formation_energy_ev_per_atom": 0.14, "dos_at_fermi_per_ev_atom": 1.58, "magmom_total_mub_per_fu": 0.00}

---

Entry 25:
{"formula": "KSr2La", "functional": "GGA-PBE", "state": "optimized geometry", "lattice_angstrom": [[7.9760, 0.0041, 0.0188], [3.7586, 7.0349, -0.0188], [-4.8773, -5.1699, 3.6196]], "species": ["Sr", "Sr", "La", "K"], "frac_coords": [[0.4955, 0.4955, 0.0000], [0.0045, 0.0045, 0.0000], [0.2500, 0.7500, 0.5000], [0.7500, 0.2500, 0.5000]], "de_polymorph_mev_per_atom": 152, "formation_energy_ev_per_atom": 0.29, "dos_at_fermi_per_ev_atom": 1.61, "magmom_total_mub_per_fu": 0.00}

---

Entry 26:
{"formula": "KSrLa2", "functional": "GGA-PBE", "state": "optimized geometry", "lattice_angstrom": [[-6.5490, 1.4160, -1.3872], [-6.4451, 0.3788, 2.2664], [-0.0768, 7.1378, 2.0285]], "species": ["La", "La", "Sr", "K"], "frac_coords": [[0.7347, 0.7347, 0.7794], [0.0182, 0.0182, 0.9596], [0.4924, 0.4924, 0.5063], [0.2548, 0.2548, 0.2547]], "de_polymorph_mev_per_atom": 159, "formation_energy_ev_per_atom": 0.30, "dos_at_fermi_per_ev_atom": 1.52, "magmom_total_mub_per_fu": 0.00}

---

Entry 27:
{"formula": "KSrLa2", "functional": "GGA-PBE", "state": "optimized geometry", "lattice_angstrom": [[-1.2676, -3.7049, -5.0212], [2.6468, -5.7743, -0.4451], [-3.5891, -5.2111, 0.7136]], "species": ["K", "La", "La", "Sr"], "frac_coords": [[0.5000, 0.5000, 0.5000], [0.0000, 0.0000, 0.0000], [0.2500, 0.2500, 0.2500], [0.7500, 0.7500, 0.7500]], "de_polymorph_mev_per_atom": 267, "formation_energy_ev_per_atom": 0.41, "dos_at_fermi_per_ev_atom": 1.67, "magmom_total_mub_per_fu": 0.00}

---

Entry 28:
{"formula": "KSr2La", "functional": "GGA-PBE", "state": "optimized geometry", "lattice_angstrom": [[-6.2770, -0.0672, -2.9170], [0.7867, -3.6195, -1.6095], [-2.7043, -3.2654, 5.8945]], "species": ["La", "Sr", "Sr", "K"], "frac_coords": [[0.5000, 0.6298, 0.8060], [0.0000, 0.1221, 0.9471], [0.5000, 0.1288, 0.2895], [0.0000, 0.6193, 0.4575]], "de_polymorph_mev_per_atom": 97, "formation_energy_ev_per_atom": 0.24, "dos_at_fermi_per_ev_atom": 1.45, "magmom_total_mub_per_fu": 0.00}

---

Entry 29:
{"formula": "KSrLa2", "functional": "GGA-PBE", "state": "optimized geometry", "lattice_angstrom": [[-3.6837, 2.8740, -5.0051], [-2.8951, -2.3215, 0.7977], [-3.0190, 4.3034, 4.6930]], "species": ["La", "La", "K", "Sr"], "frac_coords": [[0.0000, 0.5181, 0.4726], [0.0000, 0.9819, 0.0274], [0.5000, 0.7500, 0.7500], [0.5000, 0.2500, 0.2500]], "de_polymorph_mev_per_atom": 166, "formation_energy_ev_per_atom": 0.31, "dos_at_fermi_per_ev_atom": 1.56, "magmom_total_mub_per_fu": 0.00}

---

Entry 30:
{"formula": "KSr2La", "functional": "GGA-PBE", "state": "optimized geometry", "lattice_angstrom": [[3.9793, 0.0000, 0.0000], [0.0000, 3.9793, 0.0000], [0.0000, 0.0000, 13.0577]], "species": ["K", "Sr", "Sr", "La"], "frac_coords": [[0.0000, 0.0000, 0.5119], [0.5000, 0.5000, 0.2328], [0.0000, 0.0000, 0.9873], [0.5000, 0.5000, 0.7680]], "de_polymorph_mev_per_atom": 73, "formation_energy_ev_per_atom": 0.21, "dos_at_fermi_per_ev_atom": 1.54, "magmom_total_mub_per_fu": 0.06}